No. 1
A relaxed structure of Ac3ZnCd2, computed with PBE.

For the energy, the calculation gives -0.1045 Ha/atom.

The structure belongs to space group Cmmm (No. 65); the cell edges are 5.6907, 17.0711 and 4.0180 Å and the angles 90.00°, 90.00° and 90.00°. The asymmetric unit holds Ac at (0.0000, 0.0000, 0.0000), Ac at (0.0000, 0.3402, 0.0000), Zn at (0.0000, 0.5000, 0.5000) and Cd at (0.0000, 0.1707, 0.5000).

No. 2
A relaxed structure of LaTh2Si6, computed with PBE.

The formation energy from raw total energies comes out at -5.62 eV per formula unit. For the energy, the calculation gives -0.2365 Ha/atom.

The structure belongs to space group P6/mmm (No. 191); the cell edges are 7.1465, 7.1465 and 4.2333 Å and the angles 90.00°, 90.00° and 120.00°. The asymmetric unit holds La at (0.0000, 0.0000, 0.0000), Th at (0.3333, 0.6667, 0.0000) and Si at (0.0000, 0.3348, 0.5000).

No. 3
A relaxed structure of Er3Si2Ni9Sb, computed with PBE.

The formation energy from raw total energies comes out at -4.44 eV per formula unit. For the energy, the calculation gives -0.2086 Ha/atom.

The structure belongs to space group P-3m1 (No. 164); the cell edges are 5.8447, 5.8447 and 8.7977 Å and the angles 90.00°, 90.00° and 120.00°. The asymmetric unit holds Er at (0.0000, 0.0000, 0.0000), Er at (0.3333, 0.6667, 0.7205), Si at (0.3333, 0.6667, 0.1682), Ni at (0.0000, 0.5000, 0.0000), Ni at (0.1406, 0.2813, 0.2681) and Sb at (0.0000, 0.0000, 0.5000).